<A>
## LaTb3Er6 (PBE)

Data for crystalline LaTb3Er6 at its relaxed geometry.

abc: 8.9092 8.9963 8.9963
angles: 116.71 90.00 90.00
Atoms (fractional coordinates):
La  0.0091  0.2248  0.7752
La  0.5091  0.7752  0.2248
Tb  0.4350  0.9702  0.6865
Tb  0.9350  0.6865  0.9702
Tb  0.4176  0.5468  0.4532
Tb  0.9176  0.4532  0.5468
Tb  0.9350  0.0298  0.3135
Tb  0.4350  0.3135  0.0298
Er  0.1039  0.8145  0.6957
Er  0.6039  0.6957  0.8145
Er  0.2747  0.5281  0.8267
Er  0.7747  0.8267  0.5281
Er  0.2872  0.9476  0.0524
Er  0.6442  0.2887  0.7113
Er  0.1442  0.7113  0.2887
Er  0.7872  0.0524  0.9476
Er  0.2747  0.1733  0.4719
Er  0.7747  0.4719  0.1733
Er  0.1039  0.3043  0.1855
Er  0.6039  0.1855  0.3043

---

<B>
## LaTb3Er6 (PBE)

Data for crystalline LaTb3Er6 at its relaxed geometry.

abc: 9.8182 9.8182 6.8604
angles: 44.31 44.31 60.00
Atoms (fractional coordinates):
La  0.8998  0.8998  0.3005
Tb  0.3996  0.3996  0.8013
Tb  0.6464  0.6464  0.0608
Tb  0.1522  0.1522  0.5433
Er  0.9006  0.5667  0.2990
Er  0.2337  0.9006  0.2990
Er  0.5667  0.2337  0.2990
Er  0.0725  0.4004  0.7990
Er  0.7280  0.0725  0.7990
Er  0.4004  0.7280  0.7990

---

If we sort the structures by their calculated energies, the order from most to least stable is <A>, <B>.

---

<A>
## La7Tb2Er2 (PBE)

Data for crystalline La7Tb2Er2 at its relaxed geometry.

abc: 9.7965 6.9523 6.9523
angles: 121.87 90.03 89.97
Atoms (fractional coordinates):
La  0.6816  0.0001  0.5002
La  0.3184  0.5002  0.0001
La  0.3184  0.9999  0.4998
La  0.6816  0.4998  0.9999
La  0.0000  0.0000  0.0000
La  0.1746  0.5000  0.5000
La  0.8254  0.5000  0.5000
Tb  0.9999  0.7321  0.2679
Tb  0.0001  0.2679  0.7321
Er  0.5000  0.7477  0.7477
Er  0.5000  0.2523  0.2523

---

<B>
## La7Tb2Er2 (PBE)

Data for crystalline La7Tb2Er2 at its relaxed geometry.

abc: 12.3332 6.4301 6.4301
angles: 114.25 107.54 107.54
Atoms (fractional coordinates):
La  0.1496  0.9708  0.5611
La  0.8504  0.4389  0.0292
La  0.8504  0.0292  0.4389
La  0.1496  0.5611  0.9708
La  0.0000  0.0000  0.0000
La  0.6338  0.8247  0.8247
La  0.3662  0.1753  0.1753
Tb  0.5000  0.2263  0.7737
Tb  0.5000  0.7737  0.2263
Er  0.7019  0.4108  0.4108
Er  0.2981  0.5892  0.5892

---

If we sort the structures by their calculated energies, the order from most to least stable is <B>, <A>.

---

<A>
## La3Tb4Er4 (PBE)

Data for crystalline La3Tb4Er4 at its relaxed geometry.

abc: 5.7363 6.7043 10.6901
angles: 90.00 90.00 115.33
Atoms (fractional coordinates):
La  0.4098  0.8197  0.2886
La  0.4098  0.8197  0.7114
La  0.2534  0.5068  0.0000
Tb  0.7487  0.4974  0.7832
Tb  0.7487  0.4974  0.2168
Tb  0.8883  0.7766  0.5000
Tb  0.9546  0.9093  0.0000
Er  0.6160  0.2320  0.5000
Er  0.5582  0.1163  0.0000
Er  0.1054  0.2109  0.6991
Er  0.1054  0.2109  0.3009

---

<B>
## La3Tb4Er4 (PBE)

Data for crystalline La3Tb4Er4 at its relaxed geometry.

abc: 3.6046 5.0664 20.0110
angles: 97.26 95.16 90.03
Atoms (fractional coordinates):
La  0.6372  0.6371  0.2747
La  0.3628  0.3629  0.7253
La  0.0000  0.0000  0.0000
Tb  0.5466  0.5464  0.0932
Tb  0.4533  0.4536  0.9068
Tb  0.8162  0.8165  0.6324
Tb  0.1837  0.1836  0.3677
Er  0.0908  0.0906  0.1816
Er  0.2721  0.2723  0.5442
Er  0.7279  0.7278  0.4558
Er  0.9092  0.9094  0.8184

---

If we sort the structures by their calculated energies, the order from most to least stable is <B>, <A>.

---

<A>
## LaTb5Er (PBE)

Data for crystalline LaTb5Er at its relaxed geometry.

abc: 5.7987 7.9041 7.9041
angles: 66.51 68.48 68.48
Atoms (fractional coordinates):
La  0.0000  0.0000  0.0000
Tb  0.5000  0.1799  0.8201
Tb  0.5000  0.8201  0.1799
Tb  0.7477  0.2523  0.2523
Tb  0.2523  0.7477  0.7477
Tb  0.0000  0.5000  0.5000
Er  0.5000  0.5000  0.5000

---

<B>
## LaTb5Er (PBE)

Data for crystalline LaTb5Er at its relaxed geometry.

abc: 6.8086 6.8086 13.6526
angles: 62.02 62.02 60.02
Atoms (fractional coordinates):
La  0.7188  0.2812  0.7500
La  0.2812  0.7188  0.2500
Tb  0.1551  0.3995  0.7538
Tb  0.6482  0.6928  0.4998
Tb  0.3995  0.1551  0.2538
Tb  0.1554  0.8446  0.7500
Tb  0.3072  0.3518  0.0002
Tb  0.6928  0.6482  0.9998
Tb  0.8446  0.1554  0.2500
Tb  0.6005  0.8449  0.7462
Tb  0.3518  0.3072  0.5002
Tb  0.8449  0.6005  0.2462
Er  0.0000  0.0000  0.0000
Er  0.0000  0.0000  0.5000

---

If we sort the structures by their calculated energies, the order from most to least stable is <B>, <A>.

---

<A>
## La6Tb12Er (PBE)

Data for crystalline La6Tb12Er at its relaxed geometry.

abc: 10.0716 10.0716 10.0716
angles: 112.90 112.90 112.90
Atoms (fractional coordinates):
La  0.6748  0.3779  0.6748
La  0.6748  0.6748  0.3779
La  0.3779  0.6748  0.6748
La  0.3252  0.3252  0.6221
La  0.3252  0.6221  0.3252
La  0.6221  0.3252  0.3252
Tb  0.8839  0.1161  0.5000
Tb  0.2281  0.9021  0.2281
Tb  0.2281  0.2281  0.9021
Tb  0.0979  0.7719  0.7719
Tb  0.7719  0.7719  0.0979
Tb  0.7719  0.0979  0.7719
Tb  0.5000  0.8839  0.1161
Tb  0.1161  0.5000  0.8839
Tb  0.1161  0.8839  0.5000
Tb  0.5000  0.1161  0.8839
Tb  0.8839  0.5000  0.1161
Tb  0.9021  0.2281  0.2281
Er  0.0000  0.0000  0.0000

---

<B>
## La6Tb12Er (PBE)

Data for crystalline La6Tb12Er at its relaxed geometry.

abc: 8.8063 8.8063 8.8063
angles: 78.75 78.75 78.75
Atoms (fractional coordinates):
La  0.7660  0.7660  0.1619
La  0.8381  0.2340  0.2340
La  0.2340  0.8381  0.2340
La  0.2340  0.2340  0.8381
La  0.1619  0.7660  0.7660
La  0.7660  0.1619  0.7660
Tb  0.8049  0.4874  0.4874
Tb  0.4874  0.8049  0.4874
Tb  0.4874  0.4874  0.8049
Tb  0.1951  0.5126  0.5126
Tb  0.5126  0.1951  0.5126
Tb  0.5126  0.5126  0.1951
Tb  0.1392  0.1392  0.4893
Tb  0.8608  0.5107  0.8608
Tb  0.5107  0.8608  0.8608
Tb  0.8608  0.8608  0.5107
Tb  0.1392  0.4893  0.1392
Tb  0.4893  0.1392  0.1392
Er  0.0000  0.0000  0.0000

---

If we sort the structures by their calculated energies, the order from most to least stable is <B>, <A>.

---

<A>
## LaTb3Er2 (PBE)

Data for crystalline LaTb3Er2 at its relaxed geometry.

abc: 3.6514 11.4173 11.1455
angles: 120.65 99.43 90.00
Atoms (fractional coordinates):
La  0.3899  0.0138  0.7797
La  0.6101  0.9862  0.2203
Tb  0.2782  0.1563  0.5563
Tb  0.0552  0.6767  0.1103
Tb  0.3876  0.5133  0.7751
Tb  0.7218  0.8437  0.4437
Tb  0.6124  0.4867  0.2249
Tb  0.9448  0.3233  0.8897
Er  0.2768  0.6486  0.5537
Er  0.7232  0.3514  0.4463
Er  0.9414  0.8120  0.8829
Er  0.0586  0.1880  0.1171

---

<B>
## LaTb3Er2 (PBE)

Data for crystalline LaTb3Er2 at its relaxed geometry.

abc: 9.4918 9.4918 11.6023
angles: 90.00 90.00 158.17
Atoms (fractional coordinates):
La  0.7799  0.2201  0.2500
La  0.2201  0.7799  0.7500
Tb  0.3355  0.6645  0.9968
Tb  0.8923  0.1077  0.7500
Tb  0.3355  0.6645  0.5032
Tb  0.1077  0.8923  0.2500
Tb  0.6645  0.3355  0.0032
Tb  0.6645  0.3355  0.4968
Er  0.0000  0.0000  0.0000
Er  0.0000  0.0000  0.5000
Er  0.4467  0.5533  0.2500
Er  0.5533  0.4467  0.7500

---

If we sort the structures by their calculated energies, the order from most to least stable is <B>, <A>.

---

<A>
## La2Tb7Er3 (PBE)

Data for crystalline La2Tb7Er3 at its relaxed geometry.

abc: 3.5995 5.8165 18.8769
angles: 93.67 90.00 90.00
Atoms (fractional coordinates):
La  0.5000  0.7028  0.2949
La  0.5000  0.2972  0.7051
Tb  0.5000  0.7416  0.4625
Tb  0.5000  0.2584  0.5375
Tb  0.0000  0.6781  0.1406
Tb  0.0000  0.0000  0.0000
Tb  0.0000  0.3219  0.8594
Tb  0.5000  0.8201  0.8268
Tb  0.5000  0.1799  0.1732
Er  0.5000  0.5000  0.0000
Er  0.0000  0.2190  0.3724
Er  0.0000  0.7810  0.6276

---

<B>
## La2Tb7Er3 (PBE)

Data for crystalline La2Tb7Er3 at its relaxed geometry.

abc: 3.5294 6.3707 17.9918
angles: 75.52 90.00 90.00
Atoms (fractional coordinates):
La  0.5000  0.6123  0.3284
La  0.5000  0.3877  0.6716
Tb  0.5000  0.2402  0.5020
Tb  0.5000  0.7598  0.4980
Tb  0.0000  0.5613  0.1620
Tb  0.0000  0.0000  0.0000
Tb  0.0000  0.4387  0.8380
Tb  0.5000  0.9366  0.8335
Tb  0.5000  0.0634  0.1665
Er  0.5000  0.5000  0.0000
Er  0.0000  0.1106  0.3427
Er  0.0000  0.8894  0.6573

---

If we sort the structures by their calculated energies, the order from most to least stable is <B>, <A>.

---

<A>
## La7TbEr3 (PBE)

Data for crystalline La7TbEr3 at its relaxed geometry.

abc: 10.2050 10.4867 13.4293
angles: 121.15 62.99 140.87
Atoms (fractional coordinates):
La  0.2294  0.1964  0.2085
La  0.3157  0.8849  0.6628
La  0.0580  0.3629  0.4782
La  0.0583  0.3631  0.9783
La  0.3162  0.8856  0.1629
La  0.7463  0.0330  0.6643
La  0.2290  0.1961  0.7086
La  0.6456  0.7672  0.3301
La  0.5180  0.1111  0.9423
La  0.5178  0.1110  0.4427
La  0.9473  0.6553  0.0206
La  0.9466  0.6551  0.5209
La  0.7473  0.0342  0.1647
La  0.6446  0.7674  0.8308
Tb  0.5106  0.5068  0.0114
Tb  0.5102  0.5062  0.5110
Er  0.2076  0.5601  0.7562
Er  0.0560  0.9780  0.9293
Er  0.0560  0.9779  0.4293
Er  0.2084  0.5612  0.2565
Er  0.7652  0.4430  0.7454
Er  0.7659  0.4434  0.2453

---

<B>
## La7TbEr3 (PBE)

Data for crystalline La7TbEr3 at its relaxed geometry.

abc: 6.0012 8.6654 8.6654
angles: 84.40 110.27 110.27
Atoms (fractional coordinates):
La  0.2096  0.2090  0.2090
La  0.3069  0.0195  0.5946
La  0.6931  0.4054  0.9805
La  0.3069  0.5946  0.0195
La  0.0000  0.5000  0.5000
La  0.6931  0.9805  0.4054
La  0.7904  0.7910  0.7910
Tb  0.5000  0.5000  0.5000
Er  0.0000  0.7950  0.2050
Er  0.5000  0.0000  0.0000
Er  0.0000  0.2050  0.7950

---

If we sort the structures by their calculated energies, the order from most to least stable is <A>, <B>.